# PBE PmHfPt4, relaxed
data_PmHfPt4
_symmetry_space_group_name_H-M 'P 1'
_symmetry_Int_Tables_number 1
_cell_length_a 5.406
_cell_length_b 5.406
_cell_length_c 5.406
_cell_angle_alpha 60.00
_cell_angle_beta 60.00
_cell_angle_gamma 60.00
loop_
_symmetry_equiv_pos_as_xyz
'x,y,z'
loop_
_atom_site_label
_atom_site_type_symbol
_atom_site_fract_x
_atom_site_fract_y
_atom_site_fract_z
Hf1 Hf 0.250 0.250 0.250
Pt1 Pt 0.625 0.625 0.126
Pt2 Pt 0.625 0.126 0.625
Pt3 Pt 0.625 0.625 0.625
Pt4 Pt 0.126 0.625 0.625
Pm1 Pm 0.000 0.000 0.000
# Formation energy from the elements   -0.88 eV/atom
# V   18.6 Å³ per atom
# Space group   No. 216
# N(E_F)   3.349 states/eV/f.u.
# M_tot   0.00 Bohr magnetons per cell
# Total energy   -44.14 eV per formula unit